DFT (PBE-GGA) results for a geometry-optimized K2NaCdHg structure.

The space group is P4/mmm (No. 123) and the conventional cell measures 6.704, 6.704 and 5.866 Å, with angles of 90.00, 90.00 and 90.00 degrees. The inequivalent atoms are K at (0.000, 0.500, 0.000), Na at (0.000, 0.000, 0.500), Cd at (0.000, 0.000, 0.000) and Hg at (0.500, 0.500, 0.500).

The calculation puts the energy relative to the elements at 84 meV/atom. As for the offset from the most stable computed form: 139 meV/atom. For the magnetic moment, the calculation gives 0.0 μB/f.u.